[1]
Compound: ErBPd3
Source: OQMD
Functional: PBE
Structure: optimized geometry

E in eV per cell: -30.25
Space group: P4mm, No. 99

```
ErBPd3
1.0
4.000 0.000 0.000
0.000 4.000 0.000
0.000 0.000 4.911
Er B Pd
1 1 3
direct
0.000 0.000 0.000
0.500 0.500 0.678
0.000 0.500 0.507
0.500 0.000 0.507
0.500 0.500 0.102
```

=====

[2]
Compound: Sr2AgAs2Au
Source: OQMD
Functional: PBE
Structure: optimized geometry

E in eV per cell: -23.96
Space group: P-6m2, No. 187

```
Sr2AgAs2Au
1.0
4.544 0.000 0.000
-2.272 3.935 0.000
0.000 0.000 8.467
Sr Ag As Au
2 1 2 1
direct
0.000 0.000 0.250
0.000 0.000 0.750
0.667 0.333 0.000
0.333 0.667 0.000
0.667 0.333 0.500
0.333 0.667 0.500
```

=====

[3]
Compound: TlTe2MoAuSe
Source: OQMD
Functional: PBE
Structure: optimized geometry

E in eV per cell: -52.57
Space group: Cmcm, No. 63

```
TlTe2MoAuSe
1.0
1.978 -7.706 0.000
1.978 7.706 0.000
0.000 0.000 10.384
Tl Te Mo Au Se
2 4 2 2 2
direct
0.241 0.759 0.750
0.759 0.241 0.250
0.369 0.631 0.024
0.369 0.631 0.476
0.631 0.369 0.524
0.631 0.369 0.976
0.000 0.000 0.000
0.000 0.000 0.500
0.456 0.544 0.250
0.544 0.456 0.750
0.067 0.933 0.250
0.933 0.067 0.750
```

=====

Among the records above, which one has the lowest E?
TlTe2MoAuSe